## one
The following is a DFT calculation (GGA-PBE) of a relaxed structure of Mg3SiIr.

The space group is Pm-3m (No. 221) and the conventional cell measures 4.922, 4.922 and 4.922 Å, with angles of 90.00, 90.00 and 90.00 degrees. Symmetry generates all atoms from Mg at (0.000, 0.000, 0.500), Si at (0.500, 0.500, 0.500) and Ir at (0.000, 0.000, 0.000).

The density of states at the Fermi level is 4.28 states/eV/f.u. For the calculated density, the calculation gives 4.08 g/cm3.


## two
The following is a DFT calculation (GGA-PBE) of a relaxed structure of Mg3SiIr.

The space group is Pm-3m (No. 221) and the conventional cell measures 4.831, 4.831 and 4.831 Å, with angles of 90.00, 90.00 and 90.00 degrees. Symmetry generates all atoms from Mg at (0.000, 0.000, 0.500), Si at (0.000, 0.000, 0.000) and Ir at (0.500, 0.500, 0.500).

The density of states at the Fermi level is 5.00 states/eV/f.u. For the calculated density, the calculation gives 4.32 g/cm3.


Which of them is the least stable? Correct choice: two.


## one
The following is a DFT calculation (GGA-PBE) of a relaxed structure of Sm2MgIr.

The space group is Fm-3m (No. 225) and the conventional cell measures 7.257, 7.257 and 7.257 Å, with angles of 90.00, 90.00 and 90.00 degrees. Symmetry generates all atoms from Sm at (0.250, 0.250, 0.250), Mg at (0.000, 0.000, 0.000) and Ir at (0.000, 0.000, 0.500).

The density of states at the Fermi level is 2.86 states/eV/f.u. For the calculated density, the calculation gives 8.99 g/cm3.


## two
The following is a DFT calculation (GGA-PBE) of a relaxed structure of Sm2MgIr.

The space group is Cmcm (No. 63) and the conventional cell measures 4.093, 14.564 and 7.430 Å, with angles of 90.00, 90.00 and 90.00 degrees. Symmetry generates all atoms from Sm at (0.000, 0.145, 0.004), Mg at (0.000, 0.491, 0.750) and Ir at (0.000, 0.302, 0.750).

The density of states at the Fermi level is 2.43 states/eV/f.u. For the calculated density, the calculation gives 7.76 g/cm3.


## three
The following is a DFT calculation (GGA-PBE) of a relaxed structure of Sm2MgIr.

The space group is P4/mmm (No. 123) and the conventional cell measures 3.620, 3.620 and 7.731 Å, with angles of 90.00, 90.00 and 90.00 degrees. Symmetry generates all atoms from Sm at (0.000, 0.000, 0.211), Mg at (0.500, 0.500, 0.500) and Ir at (0.500, 0.500, 0.000).

The density of states at the Fermi level is 1.90 states/eV/f.u. For the calculated density, the calculation gives 8.48 g/cm3.


## four
The following is a DFT calculation (GGA-PBE) of a relaxed structure of Sm2MgIr.

The space group is R-3m (No. 166, hexagonal axes) and the conventional cell measures 4.0564, 4.0564 and 25.3292 Å, with angles of 90.00, 90.00 and 120.00 degrees. Symmetry generates all atoms from Sm at (0.0000, 0.0000, 0.2281), Mg at (0.0000, 0.0000, 0.0000) and Ir at (0.0000, 0.0000, 0.5000).

The density of states at the Fermi level is 3.30 states/eV/f.u. For the calculated density, the calculation gives 7.14 g/cm3.


Which of them is the least stable? Correct choice: four.


## one
The following is a DFT calculation (GGA-PBE) of a relaxed structure of Sm4MgIr.

The space group is F-43m (No. 216) and the conventional cell measures 14.009, 14.009 and 14.009 Å, with angles of 90.00, 90.00 and 90.00 degrees. Symmetry generates all atoms from Sm at (0.000, 0.000, 0.188), Sm at (0.062, 0.250, 0.250), Sm at (0.097, 0.097, 0.597), Mg at (0.171, 0.171, 0.829) and Ir at (0.108, 0.108, 0.392).

The density of states at the Fermi level is 4.17 states/eV/f.u. For the calculated density, the calculation gives 7.90 g/cm3.


## two
The following is a DFT calculation (GGA-PBE) of a relaxed structure of Sm4MgIr.

The space group is I4_1md (No. 109) and the conventional cell measures 9.522, 9.522 and 9.465 Å, with angles of 90.00, 90.00 and 90.00 degrees. Symmetry generates all atoms from Sm at (0.000, 0.184, 0.000), Sm at (0.000, 0.202, 0.439), Mg at (0.000, 0.000, 0.714) and Ir at (0.000, 0.000, 0.221).

The density of states at the Fermi level is 9.32 states/eV/f.u. For the calculated density, the calculation gives 6.33 g/cm3.


Which of them is the least stable? Correct choice: two.


## one
The following is a DFT calculation (GGA-PBE) of a relaxed structure of SrMg3Ir.

The space group is P2_1/c (No. 14) and the conventional cell measures 7.706, 7.424 and 9.244 Å, with angles of 90.00, 101.68 and 90.00 degrees. Symmetry generates all atoms from Sr at (0.197, 0.062, 0.220), Mg at (0.116, 0.662, 0.043), Mg at (0.353, 0.558, 0.373), Mg at (0.420, 0.116, 0.591) and Ir at (0.447, 0.749, 0.136).

The density of states at the Fermi level is 2.24 states/eV/f.u. For the calculated density, the calculation gives 4.52 g/cm3.


## two
The following is a DFT calculation (GGA-PBE) of a relaxed structure of SrMg3Ir.

The space group is Pm-3m (No. 221) and the conventional cell measures 6.312, 6.312 and 6.312 Å, with angles of 90.00, 90.00 and 90.00 degrees. Symmetry generates all atoms from Sr at (0.000, 0.000, 0.000), Mg at (0.000, 0.000, 0.500) and Ir at (0.500, 0.500, 0.500).

The density of states at the Fermi level is 5.54 states/eV/f.u. For the calculated density, the calculation gives 2.33 g/cm3.


## three
The following is a DFT calculation (GGA-PBE) of a relaxed structure of SrMg3Ir.

The space group is P2_1/m (No. 11) and the conventional cell measures 5.906, 6.192 and 7.299 Å, with angles of 90.00, 112.40 and 90.00 degrees. Symmetry generates all atoms from Sr at (0.075, 0.250, 0.384), Mg at (0.036, 0.250, 0.870), Mg at (0.471, 0.502, 0.211) and Ir at (0.350, 0.750, 0.461).

The density of states at the Fermi level is 2.28 states/eV/f.u. For the calculated density, the calculation gives 4.75 g/cm3.


Which of them is the least stable? Correct choice: two.


## one
The following is a DFT calculation (GGA-PBE) of a relaxed structure of Mg3TaIr.

The space group is Pm-3m (No. 221) and the conventional cell measures 4.804, 4.804 and 4.804 Å, with angles of 90.00, 90.00 and 90.00 degrees. Symmetry generates all atoms from Mg at (0.000, 0.000, 0.500), Ta at (0.500, 0.500, 0.500) and Ir at (0.000, 0.000, 0.000).

The density of states at the Fermi level is 2.09 states/eV/f.u. For the calculated density, the calculation gives 6.68 g/cm3.


## two
The following is a DFT calculation (GGA-PBE) of a relaxed structure of Mg3TaIr.

The space group is Pm-3m (No. 221) and the conventional cell measures 5.151, 5.151 and 5.151 Å, with angles of 90.00, 90.00 and 90.00 degrees. Symmetry generates all atoms from Mg at (0.000, 0.000, 0.500), Ta at (0.000, 0.000, 0.000) and Ir at (0.500, 0.500, 0.500).

The density of states at the Fermi level is 4.14 states/eV/f.u. For the calculated density, the calculation gives 5.42 g/cm3.


Which of them is the least stable? Correct choice: two.


## one
The following is a DFT calculation (GGA-PBE) of a relaxed structure of MgTa2Ir2.

The space group is P4/mbm (No. 127) and the conventional cell measures 7.727, 7.727 and 2.948 Å, with angles of 90.00, 90.00 and 90.00 degrees. Symmetry generates all atoms from Mg at (0.000, 0.000, 0.000), Ta at (0.162, 0.338, 0.500) and Ir at (0.132, 0.632, 0.000).

The density of states at the Fermi level is 3.32 states/eV/f.u. For the calculated density, the calculation gives 14.54 g/cm3.


## two
The following is a DFT calculation (GGA-PBE) of a relaxed structure of MgTa2Ir2.

The space group is P4/mbm (No. 127) and the conventional cell measures 7.913, 7.913 and 2.851 Å, with angles of 90.00, 90.00 and 90.00 degrees. Symmetry generates all atoms from Mg at (0.000, 0.000, 0.000), Ta at (0.147, 0.353, 0.000) and Ir at (0.144, 0.644, 0.500).

The density of states at the Fermi level is 3.21 states/eV/f.u. For the calculated density, the calculation gives 14.34 g/cm3.


Which of them is the least stable? Correct choice: two.